1.
Ta5Tc | PBE-GGA | optimized geometry

**Total magnetization**: 0.0 μB per formula unit
**DFT formation energy**: 0.2689 eV/atom
**Distance to the lowest polymorph of the same formula**: 453.8 meV per atom
**DOS(E_F)**: 3.91 states/eV per cell

Cell lengths 5.383, 5.383, 5.383 Å; angles 60.00, 60.00, 60.00 degrees
Fractional coordinates of all 6 atoms:
Ta 0.000 0.000 0.000
Ta 0.125 0.625 0.625
Ta 0.625 0.125 0.625
Ta 0.625 0.625 0.125
Ta 0.625 0.625 0.625
Tc 0.250 0.250 0.250

***

2.
Ta2Tc | PBE-GGA | optimized geometry

**Total magnetization**: 0.0 μB per formula unit
**DFT formation energy**: 0.0690 eV/atom
**Distance to the lowest polymorph of the same formula**: 450.7 meV per atom
**DOS(E_F)**: 6.69 states/eV per cell

Cell lengths 5.227, 5.227, 5.227 Å; angles 104.22, 104.22, 120.57 degrees
Fractional coordinates of all 6 atoms:
Ta 0.157 0.657 0.815
Ta 0.343 0.157 0.500
Ta 0.657 0.843 0.500
Ta 0.843 0.343 0.185
Tc 0.250 0.250 0.000
Tc 0.750 0.750 0.000

***

3.
TaTc2 | PBE-GGA | optimized geometry

**Total magnetization**: 0.0 μB per formula unit
**DFT formation energy**: 0.0155 eV/atom
**Distance to the lowest polymorph of the same formula**: 213.1 meV per atom
**DOS(E_F)**: 6.49 states/eV per cell

Cell lengths 2.801, 7.816, 4.341 Å; angles 90.00, 90.00, 90.00 degrees
Fractional coordinates of all 6 atoms:
Ta 0.000 0.000 0.000
Ta 0.500 0.500 0.500
Tc 0.196 0.338 0.000
Tc 0.304 0.838 0.500
Tc 0.696 0.162 0.500
Tc 0.804 0.662 0.000

***

4.
Ta2Tc | PBE-GGA | optimized geometry

**Total magnetization**: 0.0 μB per formula unit
**DFT formation energy**: -0.1835 eV/atom
**Distance to the lowest polymorph of the same formula**: 198.2 meV per atom
**DOS(E_F)**: 1.56 states/eV per cell

Cell lengths 7.086, 6.881, 2.847 Å; angles 82.30, 74.23, 23.47 degrees
Fractional coordinates of all 3 atoms:
Ta 0.161 0.161 0.839
Ta 0.839 0.839 0.161
Tc 0.500 0.500 0.500

***

5.
Ta2Tc | PBE-GGA | optimized geometry

**Total magnetization**: 0.0 μB per formula unit
**DFT formation energy**: 0.1683 eV/atom
**Distance to the lowest polymorph of the same formula**: 550.0 meV per atom
**DOS(E_F)**: 9.63 states/eV per cell

Cell lengths 6.636, 6.636, 4.239 Å; angles 90.00, 90.00, 120.00 degrees
Fractional coordinates of all 9 atoms:
Ta 0.000 0.251 0.000
Ta 0.000 0.570 0.500
Ta 0.251 0.000 0.000
Ta 0.430 0.430 0.500
Ta 0.570 0.000 0.500
Ta 0.749 0.749 0.000
Tc 0.000 0.000 0.500
Tc 0.333 0.667 0.000
Tc 0.667 0.333 0.000

***

6.
TaTc2 | PBE-GGA | optimized geometry

**Total magnetization**: 0.0 μB per formula unit
**DFT formation energy**: -0.0230 eV/atom
**Distance to the lowest polymorph of the same formula**: 174.6 meV per atom
**DOS(E_F)**: 2.95 states/eV per cell

Cell lengths 6.938, 6.746, 2.772 Å; angles 82.25, 74.44, 23.32 degrees
Fractional coordinates of all 3 atoms:
Ta 0.000 0.000 0.000
Tc 0.332 0.332 0.668
Tc 0.668 0.668 0.332

***

7.
Ta4Tc | PBE-GGA | optimized geometry

**Total magnetization**: 0.0 μB per formula unit
**DFT formation energy**: 1.3000 eV/atom
**Distance to the lowest polymorph of the same formula**: 1522.2 meV per atom
**DOS(E_F)**: 7.62 states/eV per cell

Cell lengths 4.748, 4.748, 4.748 Å; angles 90.00, 90.00, 90.00 degrees
Fractional coordinates of all 5 atoms:
Ta 0.000 0.000 0.000
Ta 0.000 0.500 0.500
Ta 0.500 0.000 0.500
Ta 0.500 0.500 0.000
Tc 0.500 0.500 0.500

***

8.
Ta5Tc3 | PBE-GGA | optimized geometry

**Total magnetization**: 0.0 μB per formula unit
**DFT formation energy**: -0.4161 eV/atom
**Distance to the lowest polymorph of the same formula**: 0.0 meV per atom
**DOS(E_F)**: 2.90 states/eV per cell

Cell lengths 3.198, 3.198, 13.083 Å; angles 90.00, 90.00, 90.00 degrees
Fractional coordinates of all 8 atoms:
Ta 0.000 0.000 0.000
Ta 0.000 0.000 0.242
Ta 0.000 0.000 0.758
Ta 0.500 0.500 0.379
Ta 0.500 0.500 0.621
Tc 0.000 0.000 0.500
Tc 0.500 0.500 0.122
Tc 0.500 0.500 0.878

***

9.
Ta2Tc | PBE-GGA | optimized geometry

**Total magnetization**: 0.0 μB per formula unit
**DFT formation energy**: 0.0558 eV/atom
**Distance to the lowest polymorph of the same formula**: 437.5 meV per atom
**DOS(E_F)**: 6.62 states/eV per cell

Cell lengths 4.779, 4.779, 5.238 Å; angles 90.00, 90.00, 120.00 degrees
Fractional coordinates of all 6 atoms:
Ta 0.000 0.000 0.000
Ta 0.000 0.000 0.500
Ta 0.333 0.667 0.250
Ta 0.667 0.333 0.750
Tc 0.333 0.667 0.750
Tc 0.667 0.333 0.250

***

10.
TaTc3 | PBE-GGA | optimized geometry

**Total magnetization**: 0.0 μB per formula unit
**DFT formation energy**: -0.0045 eV/atom
**Distance to the lowest polymorph of the same formula**: 93.4 meV per atom
**DOS(E_F)**: 6.24 states/eV per cell

Cell lengths 4.455, 5.524, 5.088 Å; angles 90.00, 90.00, 90.00 degrees
Fractional coordinates of all 8 atoms:
Ta 0.250 0.250 0.112
Ta 0.750 0.750 0.888
Tc 0.250 0.521 0.643
Tc 0.250 0.750 0.176
Tc 0.250 0.979 0.643
Tc 0.750 0.021 0.357
Tc 0.750 0.250 0.824
Tc 0.750 0.479 0.357

***

11.
TaTc3 | PBE-GGA | optimized geometry

**Total magnetization**: 0.0 μB per formula unit
**DFT formation energy**: -0.0133 eV/atom
**Distance to the lowest polymorph of the same formula**: 84.5 meV per atom
**DOS(E_F)**: 16.17 states/eV per cell

Cell lengths 5.084, 9.064, 5.416 Å; angles 90.00, 90.00, 90.00 degrees
Fractional coordinates of all 16 atoms:
Ta 0.032 0.250 0.122
Ta 0.468 0.750 0.622
Ta 0.532 0.250 0.378
Ta 0.968 0.750 0.878
Tc 0.062 0.250 0.624
Tc 0.226 0.518 0.384
Tc 0.226 0.982 0.384
Tc 0.274 0.018 0.884
Tc 0.274 0.482 0.884
Tc 0.438 0.750 0.124
Tc 0.562 0.250 0.876
Tc 0.726 0.518 0.116
Tc 0.726 0.982 0.116
Tc 0.774 0.018 0.616
Tc 0.774 0.482 0.616
Tc 0.938 0.750 0.376

***

12.
TaTc4 | PBE-GGA | optimized geometry

**Total magnetization**: 0.0 μB per formula unit
**DFT formation energy**: 0.0353 eV/atom
**Distance to the lowest polymorph of the same formula**: 0.0 meV per atom
**DOS(E_F)**: 6.27 states/eV per cell

Cell lengths 4.838, 4.838, 4.838 Å; angles 99.47, 99.47, 132.14 degrees
Fractional coordinates of all 5 atoms:
Ta 0.000 0.000 0.000
Tc 0.196 0.409 0.605
Tc 0.409 0.804 0.213
Tc 0.591 0.196 0.787
Tc 0.804 0.591 0.395

***

13.
TaTc2 | PBE-GGA | optimized geometry

**Total magnetization**: 0.0 μB per formula unit
**DFT formation energy**: 0.4006 eV/atom
**Distance to the lowest polymorph of the same formula**: 598.2 meV per atom
**DOS(E_F)**: 5.86 states/eV per cell

Cell lengths 5.089, 5.089, 5.089 Å; angles 108.06, 108.06, 112.33 degrees
Fractional coordinates of all 6 atoms:
Ta 0.250 0.250 0.000
Ta 0.750 0.750 0.000
Tc 0.151 0.651 0.802
Tc 0.349 0.151 0.500
Tc 0.651 0.849 0.500
Tc 0.849 0.349 0.198

***

14.
TaTc4 | PBE-GGA | optimized geometry

**Total magnetization**: 0.0 μB per formula unit
**DFT formation energy**: 1.4709 eV/atom
**Distance to the lowest polymorph of the same formula**: 1435.5 meV per atom
**DOS(E_F)**: 7.60 states/eV per cell

Cell lengths 4.984, 4.984, 4.984 Å; angles 109.47, 109.47, 109.47 degrees
Fractional coordinates of all 5 atoms:
Ta 0.000 0.000 0.000
Tc 0.000 0.000 0.500
Tc 0.000 0.500 0.000
Tc 0.500 0.000 0.000
Tc 0.500 0.500 0.500

***

15.
Ta2Tc | PBE-GGA | optimized geometry

**Total magnetization**: 0.0 μB per formula unit
**DFT formation energy**: -0.3616 eV/atom
**Distance to the lowest polymorph of the same formula**: 20.1 meV per atom
**DOS(E_F)**: 2.88 states/eV per cell

Cell lengths 7.093, 7.093, 4.547 Å; angles 90.00, 90.00, 153.82 degrees
Fractional coordinates of all 6 atoms:
Ta 0.080 0.920 0.750
Ta 0.245 0.755 0.250
Ta 0.755 0.245 0.750
Ta 0.920 0.080 0.250
Tc 0.418 0.582 0.750
Tc 0.582 0.418 0.250

***

16.
Ta2Tc | PBE-GGA | optimized geometry

**Total magnetization**: 0.0 μB per formula unit
**DFT formation energy**: -0.1818 eV/atom
**Distance to the lowest polymorph of the same formula**: 199.9 meV per atom
**DOS(E_F)**: 8.46 states/eV per cell

Cell lengths 5.466, 4.579, 8.180 Å; angles 90.00, 90.00, 90.00 degrees
Fractional coordinates of all 12 atoms:
Ta 0.016 0.250 0.237
Ta 0.172 0.250 0.583
Ta 0.328 0.750 0.083
Ta 0.484 0.750 0.737
Ta 0.516 0.250 0.263
Ta 0.672 0.250 0.917
Ta 0.828 0.750 0.417
Ta 0.984 0.750 0.763
Tc 0.175 0.250 0.926
Tc 0.325 0.750 0.426
Tc 0.675 0.250 0.574
Tc 0.825 0.750 0.074

***

17.
TaTc3 | PBE-GGA | optimized geometry

**Total magnetization**: 0.0 μB per formula unit
**DFT formation energy**: -0.0331 eV/atom
**Distance to the lowest polymorph of the same formula**: 64.8 meV per atom
**DOS(E_F)**: 4.30 states/eV per cell

Cell lengths 4.440, 4.440, 4.440 Å; angles 60.00, 60.00, 60.00 degrees
Fractional coordinates of all 4 atoms:
Ta 0.000 0.000 0.000
Tc 0.250 0.250 0.250
Tc 0.500 0.500 0.500
Tc 0.750 0.750 0.750

***

18.
TaTc3 | PBE-GGA | optimized geometry

**Total magnetization**: 0.0 μB per formula unit
**DFT formation energy**: 0.0372 eV/atom
**Distance to the lowest polymorph of the same formula**: 135.1 meV per atom
**DOS(E_F)**: 8.89 states/eV per cell

Cell lengths 5.614, 5.614, 4.537 Å; angles 90.00, 90.00, 120.00 degrees
Fractional coordinates of all 8 atoms:
Ta 0.333 0.667 0.250
Ta 0.667 0.333 0.750
Tc 0.166 0.331 0.750
Tc 0.166 0.834 0.750
Tc 0.331 0.166 0.250
Tc 0.669 0.834 0.750
Tc 0.834 0.166 0.250
Tc 0.834 0.669 0.250

***

19.
TaTc3 | PBE-GGA | optimized geometry

**Total magnetization**: 0.0 μB per formula unit
**DFT formation energy**: -0.0868 eV/atom
**Distance to the lowest polymorph of the same formula**: 11.1 meV per atom
**DOS(E_F)**: 3.48 states/eV per cell

Cell lengths 5.204, 5.204, 5.204 Å; angles 144.91, 129.40, 63.07 degrees
Fractional coordinates of all 4 atoms:
Ta 0.000 0.000 0.000
Tc 0.242 0.742 0.500
Tc 0.500 0.500 0.000
Tc 0.758 0.258 0.500

***

20.
TaTc3 | PBE-GGA | optimized geometry

**Total magnetization**: 0.0 μB per formula unit
**DFT formation energy**: -0.0784 eV/atom
**Distance to the lowest polymorph of the same formula**: 19.4 meV per atom
**DOS(E_F)**: 4.36 states/eV per cell

Cell lengths 4.443, 4.443, 3.133 Å; angles 90.00, 90.00, 90.00 degrees
Fractional coordinates of all 4 atoms:
Ta 0.000 0.000 0.000
Tc 0.000 0.500 0.500
Tc 0.500 0.000 0.500
Tc 0.500 0.500 0.000